1.
VASP calculation (GGA-PBE) on a geometry-optimized Pm2HfNiS5 structure.

Cell lengths 8.479, 8.479, 11.428 Å; angles 90.00, 90.00, 154.31 degrees
Fractional coordinates of all 18 atoms:
Pm: 0.111 0.889 0.500
Pm: 0.123 0.877 0.127
Pm: 0.877 0.123 0.627
Pm: 0.889 0.111 0.000
Hf: 0.185 0.815 0.819
Hf: 0.815 0.185 0.319
Ni: 0.429 0.571 0.245
Ni: 0.571 0.429 0.745
S: 0.039 0.961 0.850
S: 0.292 0.708 0.476
S: 0.306 0.694 0.164
S: 0.347 0.653 0.815
S: 0.498 0.502 0.581
S: 0.502 0.498 0.081
S: 0.653 0.347 0.315
S: 0.694 0.306 0.664
S: 0.708 0.292 0.976
S: 0.961 0.039 0.350

V   356.2 Å³/cell
Magnetic moment   0.000 μB/f.u.
Raw formation energy   -14.98 eV/f.u.

---

2.
VASP calculation (GGA-PBE) on a geometry-optimized Y2MoPb2 structure.

Cell lengths 7.591, 7.591, 4.470 Å; angles 90.00, 90.00, 90.00 degrees
Fractional coordinates of all 10 atoms:
Y: 0.171 0.329 0.000
Y: 0.329 0.829 0.000
Y: 0.671 0.171 0.000
Y: 0.829 0.671 0.000
Mo: 0.000 0.000 0.500
Mo: 0.500 0.500 0.500
Pb: 0.142 0.642 0.500
Pb: 0.358 0.142 0.500
Pb: 0.642 0.858 0.500
Pb: 0.858 0.358 0.500

V   257.6 Å³/cell
Magnetic moment   0.803 μB/f.u.
Formation energy from the elements   -0.029 eV per atom

---

3.
VASP calculation (GGA-PBE) on a geometry-optimized PrNi2Sn3 structure.

Cell lengths 7.729, 7.729, 7.729 Å; angles 51.99, 51.99, 51.99 degrees
Fractional coordinates of all 12 atoms:
Pr: 0.219 0.219 0.219
Pr: 0.781 0.781 0.781
Ni: 0.000 0.000 0.000
Ni: 0.000 0.500 0.500
Ni: 0.500 0.000 0.500
Ni: 0.500 0.500 0.000
Sn: 0.254 0.744 0.744
Sn: 0.256 0.256 0.746
Sn: 0.256 0.746 0.256
Sn: 0.744 0.254 0.744
Sn: 0.744 0.744 0.254
Sn: 0.746 0.256 0.256

V   265.0 Å³/cell
Magnetic moment   0.000 μB/f.u.
Formation energy from the elements   -0.277 eV per atom
Energy relative to the lowest polymorph listed for this composition   0.65 eV per formula unit

---

4.
VASP calculation (GGA-PBE) on a geometry-optimized BeVNi4 structure.

Cell lengths 4.153, 4.153, 7.604 Å; angles 115.60, 115.60, 34.65 degrees
Fractional coordinates of all 6 atoms:
Be: 0.000 0.000 0.000
V: 0.500 0.500 0.500
Ni: 0.162 0.162 0.332
Ni: 0.354 0.354 0.146
Ni: 0.646 0.646 0.854
Ni: 0.838 0.838 0.668

V   66.5 Å³/cell
Magnetic moment   0.000 μB/f.u.
Formation energy from the elements   -0.058 eV per atom
Energy relative to the lowest polymorph listed for this composition   1.00 eV per formula unit

---

5.
VASP calculation (GGA-PBE) on a geometry-optimized La8Co2Ir3 structure.

Cell lengths 8.594, 8.594, 5.173 Å; angles 97.50, 97.50, 70.54 degrees
Fractional coordinates of all 13 atoms:
La: 0.124 0.623 0.444
La: 0.125 0.125 0.054
La: 0.374 0.374 0.940
La: 0.377 0.876 0.556
La: 0.623 0.124 0.444
La: 0.626 0.626 0.060
La: 0.875 0.875 0.946
La: 0.876 0.377 0.556
Co: 0.241 0.241 0.525
Co: 0.759 0.759 0.475
Ir: 0.000 0.000 0.500
Ir: 0.258 0.742 0.000
Ir: 0.742 0.258 0.000

V   355.6 Å³/cell
Magnetic moment   0.000 μB/f.u.
Formation energy from the elements   -0.355 eV per atom

---

6.
VASP calculation (GGA-PBE) on a geometry-optimized CaCd2CuPd structure.

Cell lengths 5.181, 5.181, 5.324 Å; angles 90.00, 90.00, 90.00 degrees
Fractional coordinates of all 5 atoms:
Ca: 0.000 0.000 0.000
Cd: 0.000 0.500 0.500
Cd: 0.500 0.000 0.500
Cu: 0.500 0.500 0.000
Pd: 0.000 0.000 0.500

V   142.9 Å³/cell
Magnetic moment   0.000 μB/f.u.
Formation energy from the elements   0.129 eV per atom

---

7.
VASP calculation (GGA-PBE) on a geometry-optimized ZrTcSe3 structure.

Cell lengths 4.847, 4.847, 4.847 Å; angles 90.00, 90.00, 90.00 degrees
Fractional coordinates of all 5 atoms:
Zr: 0.000 0.000 0.000
Tc: 0.500 0.500 0.500
Se: 0.000 0.500 0.500
Se: 0.500 0.000 0.500
Se: 0.500 0.500 0.000

V   113.9 Å³/cell
Magnetic moment   1.532 μB/f.u.
Energy relative to the lowest polymorph listed for this composition   0.00 eV per formula unit
Raw formation energy   1.22 eV/f.u.

---

8.
VASP calculation (GGA-PBE) on a geometry-optimized Y2Er6Sc structure.

Cell lengths 3.502, 8.547, 9.234 Å; angles 90.13, 100.88, 90.06 degrees
Fractional coordinates of all 9 atoms:
Y: 0.055 0.328 0.109
Y: 0.945 0.672 0.891
Er: 0.164 0.000 0.329
Er: 0.277 0.668 0.554
Er: 0.388 0.331 0.777
Er: 0.612 0.669 0.223
Er: 0.723 0.332 0.446
Er: 0.836 0.000 0.671
Sc: 0.500 0.000 0.000

V   271.4 Å³/cell
Magnetic moment   0.000 μB/f.u.
Formation energy from the elements   0.035 eV per atom
Energy relative to the lowest polymorph listed for this composition   0.00 eV per formula unit

---

> Look up the magnetic moment of the eighth one.

0.000 μB/f.u.

---

> Look up the V of the fifth one.

355.6 Å³/cell

---

> Which of these has the lowest V?

BeVNi4